## PmMnZnAu (PBE-GGA)

Data for crystalline PmMnZnAu at its relaxed geometry.

ΔE_f ... -0.215 eV per atom
Fermi-level density of states ... 0.957 states/eV/atom

Cell and atoms, written as CIF:
```
data_PmMnZnAu
_cell_length_a 6.907
_cell_length_b 6.907
_cell_length_c 6.907
_cell_angle_alpha 90.00
_cell_angle_beta 90.00
_cell_angle_gamma 90.00
_space_group_name_H-M_alt 'F -4 3 m'
_space_group_IT_number 216
_space_group_name_Hall 'F -4 2 3'
loop_
_atom_site_label
_atom_site_type_symbol
_atom_site_fract_x
_atom_site_fract_y
_atom_site_fract_z
Pm1 Pm 0.000 0.000 0.000
Mn1 Mn 0.000 0.000 0.500
Zn1 Zn 0.250 0.250 0.250
Au1 Au 0.250 0.250 0.750
```

## Pu4TeSe5 (PBE-GGA)

Data for crystalline Pu4TeSe5 at its relaxed geometry.

Formation energy without anion corrections ... -1.275 eV/atom
Fermi-level density of states ... 4.936 states/eV/atom

Cell and atoms, written as CIF:
```
data_Pu4TeSe5
_cell_length_a 18.284
_cell_length_b 4.205
_cell_length_c 8.617
_cell_angle_alpha 90.00
_cell_angle_beta 107.51
_cell_angle_gamma 90.00
_space_group_name_H-M_alt 'C 1 2/m 1'
_space_group_IT_number 12
_space_group_name_Hall '-C 2y'
loop_
_atom_site_label
_atom_site_type_symbol
_atom_site_fract_x
_atom_site_fract_y
_atom_site_fract_z
Pu1 Pu 0.006 0.000 0.275
Pu2 Pu 0.181 0.500 0.118
Te1 Te 0.000 0.500 0.000
Se1 Se 0.000 0.500 0.500
Se2 Se 0.162 0.000 0.875
Se3 Se 0.168 0.000 0.329
```

## CaYRh2 (PBE-GGA)

Data for crystalline CaYRh2 at its relaxed geometry.

E above lowest polymorph ... 1.02 eV per formula unit
ΔE_f ... -0.370 eV per atom
Fermi-level density of states ... 0.936 states/eV/atom

Cell and atoms, written as CIF:
```
data_CaYRh2
_cell_length_a 4.3857
_cell_length_b 4.3857
_cell_length_c 18.5247
_cell_angle_alpha 90.00
_cell_angle_beta 90.00
_cell_angle_gamma 120.00
_space_group_name_H-M_alt 'R 3 m'
_space_group_IT_number 160
_space_group_name_Hall 'R 3 -2"'
loop_
_atom_site_label
_atom_site_type_symbol
_atom_site_fract_x
_atom_site_fract_y
_atom_site_fract_z
Ca1 Ca 0.0000 0.0000 0.0000
Y1 Y 0.0000 0.0000 0.8205
Rh1 Rh 0.0000 0.0000 0.2321
Rh2 Rh 0.0000 0.0000 0.5708
```